VASP calculation (PBE) on crystalline La9Nd11Dy4 at its relaxed geometry.

Values from the calculation:
- Energy of formation from the pure elements: 49 meV per atom
- Electronic total energy: -114.02 eV per cell
- Total moment: 0.35 μB per formula unit

abc: 16.1316 16.1316 3.7279
angles: 90.00 90.00 117.98
Closest atoms and distances in Å follow each position.
Atoms (fractional coordinates):
La: 0.0000 0.0000 0.0000  2 La 3.73, 4 Nd 3.85, 4 Dy 3.87
La: 0.1145 0.6721 0.0000  3 La 3.55-3.73, 8 Nd 3.61-3.76, 1 Dy 3.65
La: 0.2957 0.4725 0.0000  1 Dy 3.55, 8 Nd 3.63-3.79, 3 La 3.73-3.85
La: 0.3279 0.8855 0.0000  3 La 3.55-3.73, 8 Nd 3.61-3.76, 1 Dy 3.65
La: 0.4725 0.2957 0.0000  1 Dy 3.55, 8 Nd 3.63-3.79, 3 La 3.73-3.85
La: 0.5275 0.7043 0.0000  1 Dy 3.55, 8 Nd 3.63-3.79, 3 La 3.73-3.85
La: 0.6721 0.1145 0.0000  3 La 3.55-3.73, 8 Nd 3.61-3.76, 1 Dy 3.65
La: 0.7043 0.5275 0.0000  1 Dy 3.55, 8 Nd 3.63-3.79, 3 La 3.73-3.85
La: 0.8855 0.3279 0.0000  3 La 3.55-3.73, 8 Nd 3.61-3.76, 1 Dy 3.65
Nd: 0.0988 0.4645 0.5000  2 Dy 3.58, 6 La 3.61-3.74, 4 Nd 3.63-3.86
Nd: 0.1220 0.8780 0.5000  4 Dy 3.48, 2 Nd 3.73, 6 La 3.76-3.85
Nd: 0.2506 0.2506 0.5000  4 Dy 3.48, 2 Nd 3.73, 4 La 3.79
Nd: 0.3199 0.6801 0.5000  4 Nd 3.63-3.73, 8 La 3.69-3.75
Nd: 0.4645 0.0988 0.5000  2 Dy 3.58, 6 La 3.61-3.74, 4 Nd 3.63-3.86
Nd: 0.5000 0.5000 0.5000  8 La 3.63, 2 Nd 3.73
Nd: 0.5355 0.9012 0.5000  2 Dy 3.58, 6 La 3.61-3.74, 4 Nd 3.63-3.86
Nd: 0.6801 0.3199 0.5000  4 Nd 3.63-3.73, 8 La 3.69-3.75
Nd: 0.7494 0.7494 0.5000  4 Dy 3.48, 2 Nd 3.73, 4 La 3.79
Nd: 0.8780 0.1220 0.5000  4 Dy 3.48, 2 Nd 3.73, 6 La 3.76-3.85
Nd: 0.9012 0.5355 0.5000  2 Dy 3.58, 6 La 3.61-3.74, 4 Nd 3.63-3.86
Dy: 0.0757 0.2657 0.0000  6 Nd 3.48-3.58, 3 La 3.55-3.87, 2 Dy 3.73
Dy: 0.2657 0.0757 0.0000  6 Nd 3.48-3.58, 3 La 3.55-3.87, 2 Dy 3.73
Dy: 0.7343 0.9243 0.0000  6 Nd 3.48-3.58, 3 La 3.55-3.87, 2 Dy 3.73
Dy: 0.9243 0.7343 0.0000  6 Nd 3.48-3.58, 3 La 3.55-3.87, 2 Dy 3.73

=====

VASP calculation (PBE) on crystalline La3NdDy6 at its relaxed geometry.

Values from the calculation:
- Energy of formation from the pure elements: 148 meV per atom
- Electronic total energy: -91.36 eV per cell
- Total moment: 0.00 μB per formula unit
- Polymorph energy (0 for the lowest one): 0.0000 eV per atom

abc: 11.0933 11.0933 6.3742
angles: 90.00 90.00 119.99
Closest atoms and distances in Å follow each position.
Atoms (fractional coordinates):
La: 0.1113 0.8887 0.5000  7 Dy 3.47-3.81, 2 La 3.67, 1 Nd 3.75
La: 0.2113 0.4386 0.8945  1 Nd 3.29, 6 Dy 3.33-3.57, 1 La 3.67
La: 0.4386 0.2113 0.3945  1 Nd 3.29, 6 Dy 3.33-3.57, 1 La 3.67
La: 0.5614 0.7887 0.8945  1 Nd 3.29, 6 Dy 3.33-3.57, 1 La 3.67
La: 0.7887 0.5614 0.3945  1 Nd 3.29, 6 Dy 3.33-3.57, 1 La 3.67
La: 0.8887 0.1113 0.0000  7 Dy 3.47-3.81, 2 La 3.67, 1 Nd 3.75
Nd: 0.3058 0.6942 0.5552  2 La 3.29, 7 Dy 3.30-3.67
Nd: 0.6942 0.3058 0.0552  2 La 3.29, 7 Dy 3.30-3.67
Dy: 0.0314 0.4518 0.3026  5 Dy 3.20-3.54, 1 Nd 3.30, 2 La 3.33-3.51
Dy: 0.1221 0.2139 0.4750  5 Dy 3.44-3.84, 4 La 3.45-3.77
Dy: 0.2139 0.1221 0.9750  5 Dy 3.44-3.84, 4 La 3.45-3.77
Dy: 0.2237 0.7763 0.0747  4 Dy 3.20-3.46, 1 Nd 3.44, 1 La 3.47
Dy: 0.4518 0.0314 0.8026  5 Dy 3.20-3.54, 1 Nd 3.30, 2 La 3.33-3.51
Dy: 0.4622 0.5378 0.3043  1 Nd 3.40, 2 Dy 3.50, 4 La 3.54-3.57
Dy: 0.5378 0.4622 0.8043  1 Nd 3.40, 2 Dy 3.50, 4 La 3.54-3.57
Dy: 0.5482 0.9686 0.3026  5 Dy 3.20-3.54, 1 Nd 3.30, 2 La 3.33-3.51
Dy: 0.7763 0.2237 0.5747  4 Dy 3.20-3.46, 1 Nd 3.44, 1 La 3.47
Dy: 0.7861 0.8779 0.4750  5 Dy 3.44-3.84, 4 La 3.45-3.77
Dy: 0.8779 0.7861 0.9750  5 Dy 3.44-3.84, 4 La 3.45-3.77
Dy: 0.9686 0.5482 0.8026  5 Dy 3.20-3.54, 1 Nd 3.30, 2 La 3.33-3.51

=====

VASP calculation (PBE) on crystalline La2Nd12Dy at its relaxed geometry.

Values from the calculation:
- Energy of formation from the pure elements: 298 meV per atom
- Electronic total energy: -134.41 eV per cell
- Total moment: 0.00 μB per formula unit

abc: 6.6403 6.6403 25.5763
angles: 90.00 90.00 90.00
Closest atoms and distances in Å follow each position.
Atoms (fractional coordinates):
La: 0.2500 0.7500 0.2355  8 Nd 3.56-3.81
La: 0.2500 0.7500 0.7645  8 Nd 3.56-3.81
La: 0.7500 0.2500 0.2355  8 Nd 3.56-3.81
La: 0.7500 0.2500 0.7645  8 Nd 3.56-3.81
Nd: 0.0620 0.5620 0.3878  1 Dy 3.37, 7 Nd 3.42-3.55
Nd: 0.0620 0.9380 0.6122  1 Dy 3.37, 7 Nd 3.42-3.55
Nd: 0.0821 0.5821 0.9380  6 Nd 3.15-3.52
Nd: 0.0821 0.9179 0.0620  6 Nd 3.15-3.52
Nd: 0.2500 0.2500 0.1625  1 Nd 3.16
Nd: 0.2500 0.2500 0.2862  1 Nd 3.16
Nd: 0.2500 0.2500 0.7138  1 Nd 3.16
Nd: 0.2500 0.2500 0.8375  1 Nd 3.16
Nd: 0.4179 0.5821 0.0620  6 Nd 3.15-3.52
Nd: 0.4179 0.9179 0.9380  6 Nd 3.15-3.52
Nd: 0.4380 0.5620 0.6122  1 Dy 3.37, 7 Nd 3.42-3.55
Nd: 0.4380 0.9380 0.3878  1 Dy 3.37, 7 Nd 3.42-3.55
Nd: 0.5620 0.0620 0.6122  1 Dy 3.37, 7 Nd 3.42-3.55
Nd: 0.5620 0.4380 0.3878  1 Dy 3.37, 7 Nd 3.42-3.55
Nd: 0.5821 0.0821 0.0620  6 Nd 3.15-3.52
Nd: 0.5821 0.4179 0.9380  6 Nd 3.15-3.52
Nd: 0.7500 0.7500 0.1625  1 Nd 3.16
Nd: 0.7500 0.7500 0.2862  1 Nd 3.16
Nd: 0.7500 0.7500 0.7138  1 Nd 3.16
Nd: 0.7500 0.7500 0.8375  1 Nd 3.16
Nd: 0.9179 0.0821 0.9380  6 Nd 3.15-3.52
Nd: 0.9179 0.4179 0.0620  6 Nd 3.15-3.52
Nd: 0.9380 0.0620 0.3878  1 Dy 3.37, 7 Nd 3.42-3.55
Nd: 0.9380 0.4380 0.6122  1 Dy 3.37, 7 Nd 3.42-3.55
Dy: 0.2500 0.7500 0.5000  4 Nd 3.37
Dy: 0.7500 0.2500 0.5000  4 Nd 3.37

=====

VASP calculation (PBE) on crystalline La4NdDy2 at its relaxed geometry.

Values from the calculation:
- Energy of formation from the pure elements: 219 meV per atom
- Electronic total energy: -64.29 eV per cell
- Total moment: 0.00 μB per formula unit
- Polymorph energy (0 for the lowest one): 0.1502 eV per atom

abc: 9.1406 9.1406 9.1406
angles: 135.03 100.70 96.13
Closest atoms and distances in Å follow each position.
Atoms (fractional coordinates):
La: 0.1527 0.1509 0.0019  1 Dy 3.32, 2 Nd 3.63, 1 La 3.69
La: 0.2568 0.2251 0.4683  1 La 3.05, 1 Nd 3.14, 1 Dy 3.23
La: 0.2568 0.7885 0.0317  1 La 3.05, 1 Nd 3.14, 1 Dy 3.23
La: 0.3510 0.8491 0.5019  1 Dy 3.32, 2 Nd 3.63, 1 La 3.69
La: 0.6490 0.1509 0.4981  1 Dy 3.32, 2 Nd 3.63, 1 La 3.69
La: 0.7432 0.2115 0.9683  1 La 3.05, 1 Nd 3.14, 1 Dy 3.23
La: 0.7432 0.7749 0.5317  1 La 3.05, 1 Nd 3.14, 1 Dy 3.23
La: 0.8473 0.8491 0.9981  1 Dy 3.32, 2 Nd 3.63, 1 La 3.69
Nd: 0.0000 0.0000 0.5000  2 La 3.14, 2 Nd 3.50
Nd: 0.0000 0.5000 0.0000  2 La 3.14, 2 Nd 3.50
Dy: 0.0000 0.5000 0.5000  4 La 3.52, 2 Dy 3.94
Dy: 0.4667 0.7167 0.7500  4 La 3.23-3.32, 2 Dy 3.59
Dy: 0.5000 0.5000 0.0000  4 La 3.52, 2 Dy 3.94
Dy: 0.5333 0.2833 0.2500  4 La 3.23-3.32, 2 Dy 3.59

=====

VASP calculation (PBE) on crystalline LaNd2Dy8 at its relaxed geometry.

Values from the calculation:
- Energy of formation from the pure elements: 154 meV per atom
- Electronic total energy: -49.58 eV per cell
- Total moment: 0.00 μB per formula unit
- Polymorph energy (0 for the lowest one): 0.0000 eV per atom

abc: 9.2701 9.2701 5.9411
angles: 105.24 105.24 121.39
Closest atoms and distances in Å follow each position.
Atoms (fractional coordinates):
La: 0.0000 0.0000 0.0000  4 Dy 3.39
Nd: 0.3058 0.6942 0.5000  8 Dy 3.35-3.49
Nd: 0.6942 0.3058 0.5000  8 Dy 3.35-3.49
Dy: 0.0987 0.3318 0.6738  4 Dy 3.27-3.60, 2 Nd 3.47-3.49
Dy: 0.2096 0.7904 0.0000  2 Nd 3.35, 1 La 3.39, 6 Dy 3.60-3.73
Dy: 0.3318 0.0987 0.6738  4 Dy 3.27-3.60, 2 Nd 3.47-3.49
Dy: 0.4287 0.4287 0.2061  4 Dy 3.00-3.33
Dy: 0.5713 0.5713 0.7939  4 Dy 3.00-3.33
Dy: 0.6682 0.9013 0.3262  4 Dy 3.27-3.60, 2 Nd 3.47-3.49
Dy: 0.7904 0.2096 0.0000  2 Nd 3.35, 1 La 3.39, 6 Dy 3.60-3.73
Dy: 0.9013 0.6682 0.3262  4 Dy 3.27-3.60, 2 Nd 3.47-3.49

=====

VASP calculation (PBE) on crystalline La3NdDy2 at its relaxed geometry.

Values from the calculation:
- Energy of formation from the pure elements: 293 meV per atom
- Electronic total energy: -53.99 eV per cell
- Total moment: 0.00 μB per formula unit
- Polymorph energy (0 for the lowest one): 0.2736 eV per atom

abc: 3.5081 6.0439 19.8789
angles: 90.00 90.00 90.00
Closest atoms and distances in Å follow each position.
Atoms (fractional coordinates):
La: 0.0000 0.0000 0.0000  2 Nd 3.02, 4 Dy 3.24
La: 0.0000 0.5000 0.1894  5 Dy 3.45-3.64, 2 La 3.51, 1 Nd 3.76
La: 0.0000 0.5000 0.8106  5 Dy 3.45-3.64, 2 La 3.51, 1 Nd 3.76
La: 0.5000 0.0000 0.3106  5 Dy 3.45-3.64, 2 La 3.51, 1 Nd 3.76
La: 0.5000 0.0000 0.6894  5 Dy 3.45-3.64, 2 La 3.51, 1 Nd 3.76
La: 0.5000 0.5000 0.5000  2 Nd 3.02, 4 Dy 3.24
Nd: 0.0000 0.5000 0.0000  2 La 3.02
Nd: 0.5000 0.0000 0.5000  2 La 3.02
Dy: 0.0000 0.5000 0.3628  3 La 3.24-3.45, 2 Dy 3.51
Dy: 0.0000 0.5000 0.6372  3 La 3.24-3.45, 2 Dy 3.51
Dy: 0.5000 0.0000 0.1372  3 La 3.24-3.45, 2 Dy 3.51
Dy: 0.5000 0.0000 0.8628  3 La 3.24-3.45, 2 Dy 3.51